Pm5ErSn5 | PBE | optimized geometry Values from VASP.

Geometry as Quantum ESPRESSO input:
```
&SYSTEM
  ibrav = 0, nat = 11, ntyp = 3
/
ATOMIC_SPECIES
Pm 145.00 Pm.upf
Sn 118.71 Sn.upf
Er 167.26 Er.upf
ATOMIC_POSITIONS angstrom
Pm 3.080 2.184 2.221
Pm 0.000 -1.201 3.440
Pm 0.000 5.092 1.825
Pm 0.000 3.565 5.195
Pm 3.080 0.657 5.591
Sn 3.080 3.942 4.801
Sn 3.080 0.000 0.000
Sn 0.000 0.554 6.303
Sn 3.080 5.195 1.113
Sn 0.000 1.807 2.615
Er 0.000 0.000 0.000
CELL_PARAMETERS angstrom
6.160 0.000 0.000
-3.080 8.151 0.536
0.000 -2.402 6.880
```

Properties
Energy relative to the elements = -0.4775 eV/atom